[1]
A relaxed structure of PuZrH2. Source: Alexandria via LeMat-Bulk, functional PBE-GGA.

Cell: 3.2900 3.2900 17.2857 Å, 90.00 90.00 120.00°
Space group R3m (No. 160, hexagonal axes)
Unique sites:
Pu (0.0000, 0.0000, 0.0000) [3 per cell]
Zr (0.0000, 0.0000, 0.8237) [3 per cell]
H (0.0000, 0.0000, 0.2219) [3 per cell]
H (0.0000, 0.0000, 0.4307) [3 per cell]

***

[2]
A relaxed structure of Ti6AlCo2. Source: Alexandria via LeMat-Bulk, functional PBE-GGA.

Values from the calculation:
energy of formation from the pure elements: -0.2272 eV/atom

Cell: 8.0145 8.3506 8.4162 Å, 90.00 90.00 90.00°
Space group Immm (No. 71)
Unique sites:
Ti (0.0000, 0.2259, 0.1930) [8 per cell]
Ti (0.1967, 0.2253, 0.5000) [8 per cell]
Ti (0.2218, 0.5000, 0.2545) [8 per cell]
Al (0.0000, 0.5000, 0.0000) [2 per cell]
Al (0.0000, 0.5000, 0.5000) [2 per cell]
Co (0.0000, 0.0000, 0.3627) [4 per cell]
Co (0.1506, 0.0000, 0.0000) [4 per cell]

***

[3]
A relaxed structure of AcThCdCu. Source: Alexandria via LeMat-Bulk, functional PBE-GGA.

Values from the calculation:
energy of formation from the pure elements: 0.0002 eV/atom

Cell: 7.6634 7.6634 7.6634 Å, 90.00 90.00 90.00°
Space group F-43m (No. 216)
Unique sites:
Ac (0.0000, 0.0000, 0.0000) [4 per cell]
Th (0.0000, 0.0000, 0.5000) [4 per cell]
Cd (0.2500, 0.2500, 0.7500) [4 per cell]
Cu (0.2500, 0.2500, 0.2500) [4 per cell]

***

[4]
A relaxed structure of Tl3H4Cl4. Source: Alexandria via LeMat-Bulk, functional PBE-GGA.

Cell: 3.7994 8.8181 15.7609 Å, 90.00 90.00 90.00°
Space group Immm (No. 71)
Unique sites:
Tl (0.0000, 0.0000, 0.0000) [2 per cell]
Tl (0.0000, 0.5000, 0.1687) [4 per cell]
H (0.0000, 0.1741, 0.3983) [8 per cell]
Cl (0.0000, 0.0000, 0.1923) [4 per cell]
Cl (0.0000, 0.1837, 0.5000) [4 per cell]

***

Table of VASP energy (eV/atom), in record order: -7.58, -7.49, -4.13, -2.62